1.
{
  "formula": "Rb2AgAs2",
  "functional": "PBE",
  "state": "relaxed",
  "formation_enthalpy_0k_ev_per_atom": 0.000,
  "relative_energy_ev_per_atom": 0.1809,
  "dos_ef_per_ev_cell": 5.41,
  "total_magnetization_mub_per_atom": 0.00,
  "crystal_system": "tetragonal",
  "lattice_angstrom": [[7.0039, 0.0000, 0.0000], [0.0000, 7.0039, 0.0000], [3.5019, 3.5019, 3.7581]],
  "species": ["Rb", "As", "As", "Ag", "Rb"],
  "fractional_positions": [[0.2500, 0.7500, 0.5000], [0.3386, 0.3386, 0.3229], [0.6614, 0.6614, 0.6771], [0.0000, 0.0000, 0.0000], [0.7500, 0.2500, 0.5000]]
}


2.
{
  "formula": "RbReAgAs2",
  "functional": "PBE",
  "state": "relaxed",
  "formation_enthalpy_0k_ev_per_atom": 2.693,
  "dos_ef_per_ev_cell": 5.11,
  "total_magnetization_mub_per_atom": 0.96,
  "crystal_system": "tetragonal",
  "lattice_angstrom": [[5.5888, 0.0000, 0.0000], [0.0000, 5.5888, 0.0000], [0.0000, 0.0000, 5.7866]],
  "species": ["As", "Rb", "As", "Ag", "Re"],
  "fractional_positions": [[0.0000, 0.5000, 0.0000], [0.0000, 0.0000, 0.0000], [0.5000, 0.0000, 0.0000], [0.5000, 0.5000, 0.5000], [0.0000, 0.0000, 0.5000]]
}


3.
{
  "formula": "RbAgAsRh",
  "functional": "PBE",
  "state": "relaxed",
  "formation_enthalpy_0k_ev_per_atom": -0.344,
  "dos_ef_per_ev_cell": 2.15,
  "total_magnetization_mub_per_atom": 0.00,
  "crystal_system": "tetragonal",
  "lattice_angstrom": [[4.0186, 0.0000, 0.0000], [0.0000, 4.0186, 0.0000], [0.0000, 0.0000, 13.1080]],
  "species": ["Ag", "As", "As", "Rh", "Rh", "Rb", "Ag", "Rb"],
  "fractional_positions": [[0.2500, 0.7500, 0.5000], [0.2500, 0.2500, 0.1068], [0.7500, 0.7500, 0.8932], [0.2500, 0.7500, 0.0000], [0.7500, 0.2500, 0.0000], [0.2500, 0.2500, 0.7333], [0.7500, 0.2500, 0.5000], [0.7500, 0.7500, 0.2667]]
}


4.
{
  "formula": "RbAgAsS2",
  "functional": "PBE",
  "state": "relaxed",
  "formation_energy_uncorrected_ev_per_atom": 0.40,
  "relative_energy_ev_per_atom": 0.6340,
  "dos_ef_per_ev_cell": 4.22,
  "total_magnetization_mub_per_atom": 0.00,
  "crystal_system": "tetragonal",
  "lattice_angstrom": [[-3.3776, -3.0088, -1.7855], [-1.1437, -2.1662, 5.8139], [-3.3858, 3.4363, 0.6143]],
  "species": ["As", "S", "Ag", "Rb", "S"],
  "fractional_positions": [[0.0000, 0.0000, 0.0000], [0.0000, 0.0000, 0.5000], [0.5000, 0.5000, 0.5000], [0.0000, 0.5000, 0.0000], [0.5000, 0.0000, 0.0000]]
}


5.
{
  "formula": "RbAgAs2S4",
  "functional": "PBE",
  "state": "relaxed",
  "formation_energy_uncorrected_ev_per_atom": -0.26,
  "total_magnetization_mub_per_atom": 0.00,
  "crystal_system": "orthorhombic",
  "lattice_angstrom": [[-1.8736, -5.6138, 2.8745], [1.4173, -0.6996, 7.0871], [-4.2122, 0.5650, 5.8875]],
  "species": ["Ag", "As", "S", "Rb", "S", "As", "S", "S"],
  "fractional_positions": [[0.5000, 0.5000, 0.5000], [0.2293, 0.2707, 0.2707], [0.4909, 0.0874, 0.5965], [0.0000, 0.0000, 0.0000], [0.5091, 0.4035, 0.9126], [0.7707, 0.7293, 0.7293], [0.1748, 0.9126, 0.4035], [0.8252, 0.5965, 0.0874]]
}


6.
{
  "formula": "Rb2AgAs2S6",
  "functional": "PBE",
  "state": "relaxed",
  "formation_energy_uncorrected_ev_per_atom": -0.40,
  "dos_ef_per_ev_cell": 3.57,
  "total_magnetization_mub_per_atom": 0.00,
  "crystal_system": "monoclinic",
  "lattice_angstrom": [[6.8444, 0.0000, 0.0000], [-3.4222, 6.6543, 0.8186], [0.0000, -2.9027, 6.6752]],
  "species": ["S", "As", "S", "S", "S", "As", "S", "Ag", "S", "Rb", "Rb"],
  "fractional_positions": [[0.6702, 0.8680, 0.2282], [0.0200, 0.0400, 0.1894], [0.3298, 0.1320, 0.7718], [0.1842, 0.3683, 0.3056], [0.8158, 0.6317, 0.6944], [0.9800, 0.9600, 0.8106], [0.8022, 0.1320, 0.7718], [0.5000, 0.0000, 0.5000], [0.1978, 0.8680, 0.2282], [0.7043, 0.4085, 0.2005], [0.2957, 0.5915, 0.7995]]
}


7.
{
  "formula": "RbAgAsS2",
  "functional": "PBE",
  "state": "relaxed",
  "formation_energy_uncorrected_ev_per_atom": -0.23,
  "relative_energy_ev_per_atom": 0.0000,
  "dos_ef_per_ev_cell": 3.54,
  "total_magnetization_mub_per_atom": 0.00,
  "crystal_system": "orthorhombic",
  "lattice_angstrom": [[-4.7605, -0.9868, 3.7079], [-0.1711, -5.4608, -1.6730], [4.7006, 0.9182, 6.2794]],
  "species": ["Rb", "S", "S", "As", "Ag", "As", "Rb", "S", "S", "Ag"],
  "fractional_positions": [[0.7475, 0.2500, 0.5000], [0.7201, 0.8818, 0.7636], [0.7201, 0.6182, 0.2364], [0.0000, 0.0000, 0.0000], [0.5000, 0.2500, 0.0000], [0.0000, 0.5000, 0.0000], [0.2525, 0.7500, 0.5000], [0.2799, 0.1182, 0.2364], [0.2799, 0.3818, 0.7636], [0.5000, 0.7500, 0.0000]]
}


8.
{
  "formula": "Rb2AgAsS4",
  "functional": "PBE",
  "state": "relaxed",
  "formation_energy_uncorrected_ev_per_atom": -0.56,
  "total_magnetization_mub_per_atom": 0.00,
  "crystal_system": "orthorhombic",
  "lattice_angstrom": [[6.4021, 0.0000, 0.0000], [3.2010, 6.6370, 0.0000], [3.2010, 0.0000, 12.0726]],
  "species": ["S", "S", "Rb", "Ag", "S", "S", "As", "S", "As", "S", "Rb", "Rb", "S", "S", "Rb", "Ag"],
  "fractional_positions": [[0.3455, 0.8051, 0.1018], [0.4045, 0.6949, 0.3982], [0.5684, 0.5000, 0.8633], [0.0000, 0.0000, 0.0000], [0.1973, 0.3051, 0.3982], [0.4976, 0.3051, 0.6018], [0.5000, 0.0000, 0.0000], [0.2524, 0.1949, 0.8982], [0.2500, 0.5000, 0.5000], [0.5527, 0.1949, 0.1018], [0.1816, 0.0000, 0.6367], [0.9316, 0.5000, 0.1367], [0.8495, 0.8051, 0.8982], [0.9005, 0.6949, 0.6018], [0.8184, 0.0000, 0.3633], [0.7500, 0.5000, 0.5000]]
}


9.
{
  "formula": "RbAgSbAs2",
  "functional": "PBE",
  "state": "relaxed",
  "formation_energy_uncorrected_ev_per_atom": 0.31,
  "dos_ef_per_ev_cell": 5.42,
  "total_magnetization_mub_per_atom": 0.00,
  "crystal_system": "tetragonal",
  "lattice_angstrom": [[5.5004, 0.0000, 0.0000], [0.0000, 5.3160, 0.0000], [0.0000, 0.0000, 5.5004]],
  "species": ["Rb", "Sb", "Ag", "As", "As"],
  "fractional_positions": [[0.5000, 0.5000, 0.5000], [0.0000, 0.0000, 0.0000], [0.0000, 0.5000, 0.0000], [0.0000, 0.0000, 0.5000], [0.5000, 0.0000, 0.0000]]
}


10.
{
  "formula": "RbAg2SbAs",
  "functional": "PBE",
  "state": "relaxed",
  "formation_energy_uncorrected_ev_per_atom": 0.41,
  "dos_ef_per_ev_cell": 2.06,
  "total_magnetization_mub_per_atom": 0.57,
  "crystal_system": "tetragonal",
  "lattice_angstrom": [[5.0608, 0.0000, 0.0000], [0.0000, 6.6660, 0.0000], [0.0000, 0.0000, 5.0608]],
  "species": ["Rb", "As", "Sb", "Ag", "Ag"],
  "fractional_positions": [[0.0000, 0.5000, 0.0000], [0.0000, 0.0000, 0.0000], [0.5000, 0.5000, 0.5000], [0.0000, 0.0000, 0.5000], [0.5000, 0.0000, 0.0000]]
}


11.
{
  "formula": "RbAgAsSe2",
  "functional": "PBE",
  "state": "relaxed",
  "formation_energy_uncorrected_ev_per_atom": 0.10,
  "relative_energy_ev_per_atom": 0.3614,
  "dos_ef_per_ev_cell": 3.80,
  "total_magnetization_mub_per_atom": 0.00,
  "crystal_system": "tetragonal",
  "lattice_angstrom": [[-2.1051, 1.1035, -4.8191], [3.1706, -3.7175, -2.2363], [-3.5162, -3.4480, 0.7464]],
  "species": ["As", "Se", "Rb", "Se", "Ag"],
  "fractional_positions": [[0.0000, 0.0000, 0.5000], [0.5000, 0.0000, 0.0000], [0.5000, 0.5000, 0.5000], [0.0000, 0.5000, 0.0000], [0.0000, 0.0000, 0.0000]]
}


12.
{
  "formula": "RbAgAsSe2",
  "functional": "PBE",
  "state": "relaxed",
  "formation_energy_uncorrected_ev_per_atom": -0.26,
  "relative_energy_ev_per_atom": 0.0000,
  "dos_ef_per_ev_cell": 4.75,
  "total_magnetization_mub_per_atom": 0.00,
  "crystal_system": "orthorhombic",
  "lattice_angstrom": [[4.8916, 0.0000, 0.0000], [0.0000, 7.8436, 0.0000], [0.0000, -3.9218, 8.2782]],
  "species": ["Ag", "Se", "Se", "Se", "Se", "Rb", "As", "Ag", "As", "Rb"],
  "fractional_positions": [[0.0000, 0.5000, 0.0000], [0.6311, 0.8910, 0.7821], [0.6311, 0.6090, 0.2179], [0.3689, 0.1090, 0.2179], [0.3689, 0.3910, 0.7821], [0.1492, 0.7500, 0.5000], [0.5000, 0.2500, 0.0000], [0.0000, 0.0000, 0.0000], [0.5000, 0.7500, 0.0000], [0.8508, 0.2500, 0.5000]]
}